1.
A plane-wave DFT calculation with PBE-GGA was carried out for a geometry-optimized LaSmAgHg structure.

Properties
Mass density: 8.9 g/cm3
Calculated formation energy: -373.8 meV/atom
Electronic total energy: -3.574 eV per atom

CIF file:
```
data_LaSmAgHg
_chemical_formula_sum 'La4 Sm4 Ag4 Hg4'
_space_group_name_H-M_alt 'F -4 3 m'
_space_group_IT_number 216
_space_group_name_Hall 'F -4 2 3'
_cell_length_a 7.629
_cell_length_b 7.629
_cell_length_c 7.629
_cell_angle_alpha 90.00
_cell_angle_beta 90.00
_cell_angle_gamma 90.00
loop_
_atom_site_label
_atom_site_fract_x
_atom_site_fract_y
_atom_site_fract_z
La1 0.000 0.000 0.000
Sm1 0.000 0.000 0.500
Ag1 0.250 0.250 0.250
Hg1 0.250 0.250 0.750
```

2.
A plane-wave DFT calculation with PBE-GGA was carried out for a geometry-optimized SrHo2 structure.

Properties
Mass density: 6.3 g/cm3
Calculated formation energy: 143.7 meV/atom
Electronic total energy: -3.469 eV per atom

CIF file:
```
data_SrHo2
_chemical_formula_sum 'Sr2 Ho4'
_space_group_name_H-M_alt 'I 4/m m m'
_space_group_IT_number 139
_space_group_name_Hall '-I 4 2'
_cell_length_a 3.710
_cell_length_b 3.710
_cell_length_c 16.001
_cell_angle_alpha 90.00
_cell_angle_beta 90.00
_cell_angle_gamma 90.00
loop_
_atom_site_label
_atom_site_fract_x
_atom_site_fract_y
_atom_site_fract_z
Sr1 0.000 0.000 0.000
Ho1 0.000 0.000 0.319
```

3.
A plane-wave DFT calculation with PBE-GGA was carried out for a geometry-optimized Sm2YRuN4 structure.

Properties
Mass density: 7.5 g/cm3
Electronic total energy: -8.207 eV per atom
Energy relative to the elements, uncorrected: -0.8967 eV per atom

CIF file:
```
data_Sm2YRuN4
_chemical_formula_sum 'Sm8 Y4 Ru4 N16'
_space_group_name_H-M_alt 'C m c m'
_space_group_IT_number 63
_space_group_name_Hall '-C 2c 2'
_cell_length_a 3.433
_cell_length_b 11.770
_cell_length_c 11.934
_cell_angle_alpha 90.00
_cell_angle_beta 90.00
_cell_angle_gamma 90.00
loop_
_atom_site_label
_atom_site_fract_x
_atom_site_fract_y
_atom_site_fract_z
Sm1 0.000 0.132 0.043
Y1 0.000 0.371 0.250
Ru1 0.000 0.361 0.750
N1 0.000 0.056 0.250
N2 0.000 0.229 0.636
N3 0.000 0.500 0.000
```

4.
A plane-wave DFT calculation with PBE-GGA was carried out for a geometry-optimized LiTlCu2 structure.

Properties
Mass density: 8.7 g/cm3
Calculated formation energy: 155.4 meV/atom
Electronic total energy: -2.963 eV per atom

CIF file:
```
data_LiTlCu2
_chemical_formula_sum 'Li2 Tl2 Cu4'
_space_group_name_H-M_alt 'C 1 2/m 1'
_space_group_IT_number 12
_cell_length_a 5.426
_cell_length_b 8.939
_cell_length_c 2.914
_cell_angle_alpha 90.00
_cell_angle_beta 113.40
_cell_angle_gamma 90.00
loop_
_space_group_symop_operation_xyz
'x,y,z'
'-x,-y,-z'
'-x,y,-z'
'x,-y,z'
'x+1/2,y+1/2,z'
'-x+1/2,-y+1/2,-z'
'-x+1/2,y+1/2,-z'
'x+1/2,-y+1/2,z'
loop_
_atom_site_label
_atom_site_fract_x
_atom_site_fract_y
_atom_site_fract_z
Li1 0.000 0.000 0.000
Tl1 0.000 0.500 0.000
Cu1 0.250 0.250 0.500
```

5.
A plane-wave DFT calculation with PBE-GGA was carried out for a geometry-optimized HfTa2Be6 structure.

Properties
Mass density: 9.2 g/cm3
Calculated formation energy: -193.1 meV/atom
Electronic total energy: -6.417 eV per atom

CIF file:
```
data_HfTa2Be6
_chemical_formula_sum 'Hf1 Ta2 Be6'
_space_group_name_H-M_alt 'P 6/m m m'
_space_group_IT_number 191
_space_group_name_Hall '-P 6 2'
_cell_length_a 6.4045
_cell_length_b 6.4045
_cell_length_c 3.0362
_cell_angle_alpha 90.00
_cell_angle_beta 90.00
_cell_angle_gamma 120.00
loop_
_atom_site_label
_atom_site_fract_x
_atom_site_fract_y
_atom_site_fract_z
Hf1 0.0000 0.0000 0.0000
Ta1 0.3333 0.6667 0.0000
Be1 0.0000 0.3373 0.5000
```

6.
A plane-wave DFT calculation with PBE-GGA was carried out for a geometry-optimized Li12Cd2Au structure.

Properties
Mass density: 2.8 g/cm3
Calculated formation energy: -35.3 meV/atom
Electronic total energy: -1.907 eV per atom

CIF file:
```
data_Li12Cd2Au
_chemical_formula_sum 'Li24 Cd4 Au2'
_space_group_name_H-M_alt 'P 4/n b m'
_space_group_IT_number 125
_cell_length_a 5.577
_cell_length_b 5.577
_cell_length_c 19.292
_cell_angle_alpha 90.00
_cell_angle_beta 90.00
_cell_angle_gamma 90.00
loop_
_space_group_symop_operation_xyz
'x,y,z'
'-x,-y,-z'
'-y+1/2,x,z'
'y+1/2,-x,-z'
'-x+1/2,-y+1/2,z'
'x+1/2,y+1/2,-z'
'y,-x+1/2,z'
'-y,x+1/2,-z'
'x,-y+1/2,-z'
'-x,y+1/2,z'
'-y+1/2,-x+1/2,-z'
'y+1/2,x+1/2,z'
'-x+1/2,y,-z'
'x+1/2,-y,z'
'y,x,-z'
'-y,-x,z'
loop_
_atom_site_label
_atom_site_fract_x
_atom_site_fract_y
_atom_site_fract_z
Li1 0.000 0.000 0.088
Li2 0.072 0.572 0.436
Li3 0.250 0.250 0.206
Li4 0.250 0.250 0.337
Cd1 0.250 0.750 0.288
Au1 0.250 0.750 0.000
```

7.
A plane-wave DFT calculation with PBE-GGA was carried out for a geometry-optimized CoNi8Rh2 structure.

Properties
Mass density: 9.0 g/cm3
Calculated formation energy: 201.5 meV/atom
Electronic total energy: -5.986 eV per atom

CIF file:
```
data_CoNi8Rh2
_chemical_formula_sum 'Co2 Ni16 Rh4'
_space_group_name_H-M_alt 'C 1 2/m 1'
_space_group_IT_number 12
_cell_length_a 14.138
_cell_length_b 4.687
_cell_length_c 4.193
_cell_angle_alpha 90.00
_cell_angle_beta 103.81
_cell_angle_gamma 90.00
loop_
_space_group_symop_operation_xyz
'x,y,z'
'-x,-y,-z'
'-x,y,-z'
'x,-y,z'
'x+1/2,y+1/2,z'
'-x+1/2,-y+1/2,-z'
'-x+1/2,y+1/2,-z'
'x+1/2,-y+1/2,z'
loop_
_atom_site_label
_atom_site_fract_x
_atom_site_fract_y
_atom_site_fract_z
Co1 0.000 0.000 0.000
Ni1 0.077 0.500 0.959
Ni2 0.089 0.247 0.487
Ni3 0.168 0.000 0.061
Rh1 0.238 0.500 0.351
```

8.
A plane-wave DFT calculation with PBE-GGA was carried out for a geometry-optimized CuP4Au structure.

Properties
Mass density: 5.7 g/cm3
Calculated formation energy: 673.8 meV/atom
Electronic total energy: -4.162 eV per atom

CIF file:
```
data_CuP4Au
_chemical_formula_sum 'Cu4 P16 Au4'
_space_group_name_H-M_alt 'F -4 3 m'
_space_group_IT_number 216
_space_group_name_Hall 'F -4 2 3'
_cell_length_a 7.668
_cell_length_b 7.668
_cell_length_c 7.668
_cell_angle_alpha 90.00
_cell_angle_beta 90.00
_cell_angle_gamma 90.00
loop_
_atom_site_label
_atom_site_fract_x
_atom_site_fract_y
_atom_site_fract_z
Cu1 0.000 0.000 0.000
P1 0.104 0.104 0.604
Au1 0.250 0.250 0.250
```